No. 1
Material: Dy2Ho3In2
Method: DFT, PBE-GGA
State: relaxed

Computed properties:
Density of states at the Fermi level = 0.763 states/eV/atom
Relative energy among the computed polymorphs = 0 meV/atom
Energy relative to the elements = -1.93 eV per formula unit
Total magnetization = 0.000 μB per formula unit

Cell and atoms, written as POSCAR:
```
Dy2Ho3In2
1.0
2.681 1.548 7.982
-2.681 1.548 7.982
0.000 -3.096 7.982
Dy Ho In
2 3 2
direct
0.076 0.076 0.076
0.924 0.924 0.924
0.347 0.347 0.347
0.500 0.500 0.500
0.653 0.653 0.653
0.217 0.217 0.217
0.783 0.783 0.783
```



No. 2
Material: NaSb3Cl
Method: DFT, PBE-GGA
State: relaxed

Computed properties:
Density of states at the Fermi level = 1.011 states/eV/atom
Relative energy among the computed polymorphs = 0 meV/atom
Total magnetization = 0.000 μB per formula unit

Cell and atoms, written as POSCAR:
```
NaSb3Cl
1.0
5.449 0.000 0.000
0.000 5.449 0.000
0.000 0.000 5.449
Na Sb Cl
1 3 1
direct
0.000 0.000 0.000
0.000 0.500 0.500
0.500 0.000 0.500
0.500 0.500 0.000
0.500 0.500 0.500
```



No. 3
Material: Pm3In2Sn4
Method: DFT, PBE-GGA
State: relaxed

Computed properties:
Density of states at the Fermi level = 0.431 states/eV/atom
Energy relative to the elements = -5.01 eV per formula unit
Total magnetization = 0.000 μB per formula unit

Cell and atoms, written as POSCAR:
```
Pm3In2Sn4
1.0
8.221 -2.351 0.000
8.221 2.351 0.000
-2.676 0.000 6.557
Pm In Sn
3 2 4
direct
0.000 0.000 0.000
0.128 0.128 0.629
0.872 0.872 0.371
0.340 0.340 0.006
0.660 0.660 0.994
0.216 0.216 0.271
0.476 0.476 0.683
0.524 0.524 0.317
0.784 0.784 0.729
```



No. 4
Material: SrLiMg2F8
Method: DFT, PBE-GGA
State: relaxed

Computed properties:
Density of states at the Fermi level = 0.803 states/eV/atom
Total magnetization = 1.103 μB per formula unit
Electronic total energy = -4.958 eV/atom

Cell and atoms, written as POSCAR:
```
SrLiMg2F8
1.0
4.959 0.000 0.000
0.000 6.473 0.000
-0.318 0.000 5.086
Sr Li Mg F
1 1 2 8
direct
0.000 0.000 0.000
0.000 0.500 0.000
0.500 0.256 0.500
0.500 0.744 0.500
0.211 0.285 0.221
0.211 0.715 0.221
0.320 0.500 0.687
0.335 0.000 0.674
0.665 0.000 0.326
0.680 0.500 0.313
0.789 0.285 0.779
0.789 0.715 0.779
```



No. 5
Material: Ta2Al2Sb
Method: DFT, PBE-GGA
State: relaxed

Computed properties:
Density of states at the Fermi level = 0.515 states/eV/atom
Total magnetization = 0.000 μB per formula unit
Electronic total energy = -6.975 eV/atom

Cell and atoms, written as POSCAR:
```
Ta2Al2Sb
1.0
7.098 0.000 0.000
0.000 7.098 0.000
0.000 0.000 3.844
Ta Al Sb
4 4 2
direct
0.138 0.362 0.000
0.362 0.862 0.000
0.638 0.138 0.000
0.862 0.638 0.000
0.154 0.654 0.500
0.346 0.154 0.500
0.654 0.846 0.500
0.846 0.346 0.500
0.000 0.000 0.000
0.500 0.500 0.000
```



No. 6
Material: LiAc2Si2
Method: DFT, PBE-GGA
State: relaxed

Computed properties:
Density of states at the Fermi level = 0.600 states/eV/atom
Total magnetization = 0.105 μB per formula unit
Electronic total energy = -4.691 eV/atom

Cell and atoms, written as POSCAR:
```
LiAc2Si2
1.0
5.712 -2.324 0.000
5.712 2.324 0.000
-5.638 0.000 9.930
Li Ac Si
2 4 4
direct
0.078 0.078 0.328
0.922 0.922 0.672
0.205 0.205 0.653
0.396 0.396 0.091
0.604 0.604 0.909
0.795 0.795 0.347
0.110 0.110 0.111
0.459 0.459 0.581
0.541 0.541 0.419
0.890 0.890 0.889
```



No. 7
Material: Tl3SnS
Method: DFT, PBE-GGA
State: relaxed

Computed properties:
Density of states at the Fermi level = 1.643 states/eV/atom
Relative energy among the computed polymorphs = 0 meV/atom
Total magnetization = 0.000 μB per formula unit

Cell and atoms, written as POSCAR:
```
Tl3SnS
1.0
5.566 0.000 0.000
0.000 5.566 0.000
0.000 0.000 5.566
Tl Sn S
3 1 1
direct
0.000 0.000 0.500
0.000 0.500 0.000
0.500 0.000 0.000
0.500 0.500 0.500
0.000 0.000 0.000
```



No. 8
Material: KZn3Co
Method: DFT, PBE-GGA
State: relaxed

Computed properties:
Density of states at the Fermi level = 0.290 states/eV/atom
Energy relative to the elements = 0.60 eV per formula unit
Total magnetization = 0.000 μB per formula unit

Cell and atoms, written as POSCAR:
```
KZn3Co
1.0
4.738 0.000 0.000
0.000 4.738 0.000
0.000 0.000 4.738
K Zn Co
1 3 1
direct
0.000 0.000 0.000
0.000 0.500 0.500
0.500 0.000 0.500
0.500 0.500 0.000
0.500 0.500 0.500
```



No. 9
Material: Tb4DyMg7
Method: DFT, PBE-GGA
State: relaxed

Computed properties:
Density of states at the Fermi level = 1.103 states/eV/atom
Relative energy among the computed polymorphs = 173 meV/atom
Energy relative to the elements = 1.77 eV per formula unit
Total magnetization = 0.000 μB per formula unit

Cell and atoms, written as POSCAR:
```
Tb4DyMg7
1.0
5.755 -2.829 0.000
5.755 2.829 0.000
-4.973 0.000 10.423
Tb Dy Mg
4 1 7
direct
0.068 0.068 0.327
0.336 0.336 0.221
0.664 0.664 0.779
0.932 0.932 0.673
0.500 0.500 0.000
0.000 0.000 0.000
0.202 0.202 0.923
0.251 0.251 0.681
0.374 0.374 0.505
0.626 0.626 0.495
0.749 0.749 0.319
0.798 0.798 0.077
```



No. 10
Material: CsU2Tl2O7
Method: DFT, PBE-GGA
State: relaxed

Computed properties:
Density of states at the Fermi level = 0.605 states/eV/atom
Total magnetization = 1.001 μB per formula unit
Electronic total energy = -7.635 eV/atom

Cell and atoms, written as POSCAR:
```
CsU2Tl2O7
1.0
3.100 -3.100 0.000
3.100 3.100 0.000
-3.062 0.000 11.507
Cs U Tl O
1 2 2 7
direct
0.000 0.000 0.000
0.405 0.405 0.808
0.595 0.595 0.192
0.192 0.192 0.385
0.808 0.808 0.615
0.095 0.595 0.192
0.322 0.322 0.638
0.405 0.905 0.808
0.500 0.500 0.000
0.595 0.095 0.192
0.678 0.678 0.362
0.905 0.405 0.808
```



No. 11
Material: PaCdRh
Method: DFT, PBE-GGA
State: relaxed

Computed properties:
Density of states at the Fermi level = 1.305 states/eV/atom
Relative energy among the computed polymorphs = 119 meV/atom
Energy relative to the elements = -1.02 eV per formula unit
Total magnetization = 0.000 μB per formula unit

Cell and atoms, written as POSCAR:
```
PaCdRh
1.0
-1.613 1.613 6.035
1.613 -1.613 6.035
1.613 1.613 -6.035
Pa Cd Rh
1 1 1
direct
0.000 0.000 0.000
0.708 0.708 0.000
0.363 0.363 0.000
```



No. 12
Material: SmTcOs
Method: DFT, PBE-GGA
State: relaxed

Computed properties:
Density of states at the Fermi level = 1.086 states/eV/atom
Energy relative to the elements = -0.38 eV per formula unit
Total magnetization = 0.000 μB per formula unit

Cell and atoms, written as POSCAR:
```
SmTcOs
1.0
8.926 0.000 0.000
0.000 2.662 4.763
0.000 -2.662 4.763
Sm Tc Os
4 4 4
direct
0.182 0.000 0.000
0.314 0.331 0.331
0.686 0.331 0.331
0.818 0.000 0.000
0.248 0.668 0.668
0.500 0.323 0.836
0.500 0.836 0.323
0.752 0.668 0.668
0.000 0.485 0.485
0.000 0.497 0.999
0.000 0.999 0.497
0.500 0.835 0.835
```



No. 13
Material: LiTcBr2
Method: DFT, PBE-GGA
State: relaxed

Computed properties:
Density of states at the Fermi level = 0.923 states/eV/atom
Relative energy among the computed polymorphs = 268 meV/atom
Total magnetization = 2.000 μB per formula unit

Cell and atoms, written as POSCAR:
```
LiTcBr2
1.0
0.000 3.332 3.332
3.332 0.000 3.332
3.332 3.332 0.000
Li Tc Br
1 1 2
direct
0.000 0.000 0.000
0.500 0.500 0.500
0.250 0.250 0.250
0.750 0.750 0.750
```



No. 14
Material: AgPt2Au
Method: DFT, PBE-GGA
State: relaxed

Computed properties:
Density of states at the Fermi level = 0.519 states/eV/atom
Relative energy among the computed polymorphs = 181 meV/atom
Energy relative to the elements = 0.59 eV per formula unit
Total magnetization = 0.000 μB per formula unit

Cell and atoms, written as POSCAR:
```
AgPt2Au
1.0
0.000 3.225 3.225
3.225 0.000 3.225
3.225 3.225 0.000
Ag Pt Au
1 2 1
direct
0.000 0.000 0.000
0.250 0.250 0.250
0.750 0.750 0.750
0.500 0.500 0.500
```



No. 15
Material: MgTl2In2Hg5
Method: DFT, PBE-GGA
State: relaxed

Computed properties:
Density of states at the Fermi level = 0.264 states/eV/atom
Energy relative to the elements = -0.28 eV per formula unit
Total magnetization = 0.000 μB per formula unit

Cell and atoms, written as POSCAR:
```
MgTl2In2Hg5
1.0
11.960 0.000 0.000
0.000 11.960 0.000
0.000 0.000 3.796
Mg Tl In Hg
2 4 4 10
direct
0.000 0.000 0.000
0.500 0.500 0.000
0.166 0.334 0.000
0.334 0.834 0.000
0.666 0.166 0.000
0.834 0.666 0.000
0.143 0.643 0.000
0.357 0.143 0.000
0.643 0.857 0.000
0.857 0.357 0.000
0.000 0.500 0.500
0.041 0.813 0.500
0.187 0.041 0.500
0.313 0.541 0.500
0.459 0.313 0.500
0.500 0.000 0.500
0.541 0.687 0.500
0.687 0.459 0.500
0.813 0.959 0.500
0.959 0.187 0.500
```



No. 16
Material: CeAgBi2
Method: DFT, PBE-GGA
State: relaxed

Computed properties:
Density of states at the Fermi level = 1.713 states/eV/atom
Energy relative to the elements = 0.51 eV per formula unit
Total magnetization = 0.234 μB per formula unit

Cell and atoms, written as POSCAR:
```
CeAgBi2
1.0
2.256 1.302 9.143
-2.256 1.302 9.143
0.000 -2.605 9.143
Ce Ag Bi
1 1 2
direct
0.000 0.000 0.000
0.500 0.500 0.500
0.400 0.400 0.400
0.600 0.600 0.600
```



No. 17
Material: YC
Method: DFT, PBE-GGA
State: relaxed

Computed properties:
Density of states at the Fermi level = 0.455 states/eV/atom
Relative energy among the computed polymorphs = 623 meV/atom
Energy relative to the elements = 0.82 eV per formula unit
Total magnetization = 0.186 μB per formula unit

Cell and atoms, written as POSCAR:
```
YC
1.0
5.596 0.000 0.000
-2.798 4.846 0.000
0.000 0.000 3.775
Y C
3 3
direct
0.000 0.000 0.000
0.333 0.667 0.500
0.667 0.333 0.500
0.000 0.500 0.000
0.500 0.000 0.000
0.500 0.500 0.000
```



No. 18
Material: AcPrTh
Method: DFT, PBE-GGA
State: relaxed

Computed properties:
Density of states at the Fermi level = 1.343 states/eV/atom
Relative energy among the computed polymorphs = 0 meV/atom
Energy relative to the elements = 0.22 eV per formula unit
Total magnetization = 0.000 μB per formula unit

Cell and atoms, written as POSCAR:
```
AcPrTh
1.0
-1.872 1.872 8.031
1.872 -1.872 8.031
1.872 1.872 -8.031
Ac Pr Th
1 1 1
direct
0.000 0.000 0.000
0.689 0.689 0.000
0.340 0.340 0.000
```



No. 19
Material: PrHoGa
Method: DFT, PBE-GGA
State: relaxed

Computed properties:
Density of states at the Fermi level = 1.525 states/eV/atom
Relative energy among the computed polymorphs = 287 meV/atom
Energy relative to the elements = -0.35 eV per formula unit
Total magnetization = 0.001 μB per formula unit

Cell and atoms, written as POSCAR:
```
PrHoGa
1.0
4.932 0.000 0.000
-2.466 4.271 0.000
0.000 0.000 8.740
Pr Ho Ga
2 2 2
direct
0.000 0.000 0.221
0.000 0.000 0.779
0.333 0.667 0.000
0.667 0.333 0.500
0.333 0.667 0.352
0.333 0.667 0.648
```



No. 20
Material: NaHfTeSe
Method: DFT, PBE-GGA
State: relaxed

Computed properties:
Density of states at the Fermi level = 0.601 states/eV/atom
Total magnetization = 0.000 μB per formula unit
Electronic total energy = -5.488 eV/atom

Cell and atoms, written as POSCAR:
```
NaHfTeSe
1.0
1.955 1.129 7.666
-1.955 1.129 7.666
0.000 -2.257 7.666
Na Hf Te Se
1 1 1 1
direct
0.000 0.000 0.000
0.181 0.181 0.181
0.768 0.768 0.768
0.582 0.582 0.582
```